[1]
A plane-wave DFT calculation with PBE-GGA was carried out for an optimized crystal structure of Sc3Al3IrRu2.

Cell and atoms, written as POSCAR:
```
Sc3Al3IrRu2
1.0
6.6823 0.0000 0.0000
-3.3411 5.7870 0.0000
0.0000 0.0000 4.0018
Sc Al Ir Ru
3 3 1 2
direct
0.0000 0.5854 0.0000 Sc
0.4146 0.4146 0.0000 Sc
0.5854 0.0000 0.0000 Sc
0.0000 0.2443 0.5000 Al
0.2443 0.0000 0.5000 Al
0.7557 0.7557 0.5000 Al
0.0000 0.0000 0.0000 Ir
0.3333 0.6667 0.5000 Ru
0.6667 0.3333 0.5000 Ru
```

For the formation energy from the elements, the calculation gives -703 meV/atom. As for the density of states at the Fermi level: 6.174 states/eV/cell.


[2]
A plane-wave DFT calculation with PBE-GGA was carried out for an optimized crystal structure of SmAl4IrRu2.

Cell and atoms, written as POSCAR:
```
SmAl4IrRu2
1.0
2.1202 1.2241 8.6895
-2.1202 1.2241 8.6895
0.0000 -2.4482 8.6895
Sm Al Ir Ru
1 4 1 2
direct
0.0000 0.0000 0.0000 Sm
0.1322 0.1322 0.1322 Al
0.4050 0.4050 0.4050 Al
0.5950 0.5950 0.5950 Al
0.8678 0.8678 0.8678 Al
0.5000 0.5000 0.5000 Ir
0.2367 0.2367 0.2367 Ru
0.7633 0.7633 0.7633 Ru
```

For the formation energy from the elements, the calculation gives -650 meV/atom. As for the density of states at the Fermi level: 3.880 states/eV/cell.


[3]
A plane-wave DFT calculation with PBE-GGA was carried out for an optimized crystal structure of AlSnIrRu.

Cell and atoms, written as POSCAR:
```
AlSnIrRu
1.0
6.2775 0.0000 0.0000
0.0000 6.2775 0.0000
0.0000 0.0000 6.2775
Al Sn Ir Ru
4 4 4 4
direct
0.0000 0.0000 0.0000 Al
0.0000 0.5000 0.5000 Al
0.5000 0.0000 0.5000 Al
0.5000 0.5000 0.0000 Al
0.0000 0.0000 0.5000 Sn
0.0000 0.5000 0.0000 Sn
0.5000 0.0000 0.0000 Sn
0.5000 0.5000 0.5000 Sn
0.2500 0.2500 0.7500 Ir
0.2500 0.7500 0.2500 Ir
0.7500 0.2500 0.2500 Ir
0.7500 0.7500 0.7500 Ir
0.2500 0.2500 0.2500 Ru
0.2500 0.7500 0.7500 Ru
0.7500 0.2500 0.7500 Ru
0.7500 0.7500 0.2500 Ru
```

For the formation energy from the elements, the calculation gives -402 meV/atom. As for the density of states at the Fermi level: 5.337 states/eV/cell.